(1)
Here is crystalline KRbNa2Sn at its relaxed geometry from Alexandria. Energies are from GGA-PBE.

POSCAR file:
```
KRbNa2Sn
1.0
6.181 0.000 0.000
0.000 6.181 0.000
0.000 0.000 6.975
Rb K Na Sn
1 1 2 1
direct
0.000 0.000 0.500
0.500 0.500 0.500
0.000 0.500 0.000
0.500 0.000 0.000
0.000 0.000 0.000
```

Summary:
Energy relative to the lowest polymorph listed for this composition in eV/atom: 0.051
M_tot in μB/cell: 0.000
Energy of formation in eV/atom: 0.020
Crystal system: tetragonal



(2)
Here is crystalline K2RbNaSn at its relaxed geometry from Alexandria. Energies are from GGA-PBE.

POSCAR file:
```
K2RbNaSn
1.0
-6.279 2.813 -0.338
-2.822 -6.139 1.342
0.222 1.221 6.051
K Na Rb Sn
2 1 1 1
direct
0.000 0.500 0.000
0.500 0.000 0.000
0.000 0.000 0.500
0.500 0.500 0.500
0.000 0.000 0.000
```

Summary:
M_tot in μB/cell: 0.000
Energy of formation in eV/atom: -0.004
Crystal system: tetragonal



(3)
Here is crystalline KRbNa2Sn at its relaxed geometry from Alexandria. Energies are from GGA-PBE.

POSCAR file:
```
KRbNa2Sn
1.0
6.133 0.000 0.000
0.000 6.590 0.000
0.000 0.000 6.133
K Rb Sn Na
1 1 1 2
direct
0.000 0.500 0.000
0.000 0.000 0.000
0.500 0.500 0.500
0.500 0.000 0.000
0.000 0.000 0.500
```

Summary:
Energy relative to the lowest polymorph listed for this composition in eV/atom: 0.636
M_tot in μB/cell: 0.000
Energy of formation in eV/atom: 0.605
Crystal system: tetragonal



(4)
Here is crystalline KRbNa2Sn at its relaxed geometry from Alexandria. Energies are from GGA-PBE.

POSCAR file:
```
KRbNa2Sn
1.0
6.161 0.000 0.000
0.000 6.161 0.000
0.000 0.000 6.758
Na Sn K Rb
2 1 1 1
direct
0.500 0.000 0.000
0.000 0.500 0.000
0.000 0.000 0.000
0.000 0.000 0.500
0.500 0.500 0.500
```

Summary:
Energy relative to the lowest polymorph listed for this composition in eV/atom: 0.000
M_tot in μB/cell: 0.000
Energy of formation in eV/atom: -0.031
Crystal system: tetragonal



(5)
Here is crystalline KRb2NaSr at its relaxed geometry from Alexandria. Energies are from GGA-PBE.

POSCAR file:
```
KRb2NaSr
1.0
-2.638 -2.664 6.235
-3.072 -5.495 -3.647
6.056 -3.962 0.869
Sr K Rb Na
1 1 2 1
direct
0.000 0.000 0.500
0.500 0.500 0.500
0.500 0.000 0.000
0.000 0.500 0.000
0.000 0.000 0.000
```

Summary:
M_tot in μB/cell: 0.000
Energy of formation in eV/atom: 0.197
Crystal system: tetragonal



(6)
Here is crystalline KRbNaSr at its relaxed geometry from Alexandria. Energies are from GGA-PBE.

POSCAR file:
```
KRbNaSr
1.0
7.020 0.000 0.000
3.510 6.080 0.000
3.510 2.027 5.732
Na K Rb Sr
1 1 1 1
direct
0.250 0.250 0.250
0.750 0.750 0.750
0.000 0.000 0.000
0.500 0.500 0.500
```

Summary:
M_tot in μB/cell: 0.000
Energy of formation in eV/atom: 0.113
Crystal system: cubic



(7)
Here is crystalline K2RbNaSr at its relaxed geometry from Alexandria. Energies are from GGA-PBE.

POSCAR file:
```
K2RbNaSr
1.0
-4.438 -4.318 3.394
4.001 0.447 5.801
-3.857 5.709 2.220
Na Rb K Sr
1 1 2 1
direct
0.000 0.000 0.000
0.500 0.500 0.500
0.000 0.500 0.000
0.500 0.000 0.000
0.000 0.000 0.500
```

Summary:
M_tot in μB/cell: 0.000
Energy of formation in eV/atom: 0.177
Crystal system: tetragonal



(8)
Here is crystalline KRbNaTa2 at its relaxed geometry from Alexandria. Energies are from GGA-PBE.

POSCAR file:
```
KRbNaTa2
1.0
-4.106 -0.659 3.206
-2.808 -3.713 -4.361
2.317 -4.219 2.100
Rb Ta K Na
1 2 1 1
direct
0.500 0.500 0.500
0.500 0.000 0.000
0.000 0.000 0.500
0.000 0.500 0.000
0.000 0.000 0.000
```

Summary:
M_tot in μB/cell: 3.508
Energy of formation in eV/atom: 2.255
Crystal system: tetragonal



(9)
Here is crystalline K2RbNaTa at its relaxed geometry from Alexandria. Energies are from GGA-PBE.

POSCAR file:
```
K2RbNaTa
1.0
-4.701 1.865 -4.599
-3.334 -5.264 1.274
-3.433 3.352 4.868
K Ta Na Rb
2 1 1 1
direct
0.500 0.000 0.000
0.000 0.000 0.500
0.000 0.000 0.000
0.000 0.500 0.000
0.500 0.500 0.500
```

Summary:
M_tot in μB/cell: 5.149
Energy of formation in eV/atom: 1.182
Crystal system: tetragonal



(10)
Here is crystalline K2RbNaTe at its relaxed geometry from Alexandria. Energies are from GGA-PBE.

POSCAR file:
```
K2RbNaTe
1.0
6.926 0.000 0.000
0.000 6.926 0.000
0.000 0.000 6.111
Na K Rb Te
1 2 1 1
direct
0.000 0.000 0.500
0.000 0.500 0.000
0.500 0.000 0.000
0.500 0.500 0.500
0.000 0.000 0.000
```

Summary:
Energy relative to the lowest polymorph listed for this composition in eV/atom: 0.030
Formation energy without anion corrections in eV/atom: -0.469
M_tot in μB/cell: 0.000
Crystal system: tetragonal



(11)
Here is crystalline K2RbNaTe at its relaxed geometry from Alexandria. Energies are from GGA-PBE.

POSCAR file:
```
K2RbNaTe
1.0
6.744 0.000 0.000
0.000 6.744 0.000
0.000 0.000 7.083
Rb K Te Na
1 2 1 1
direct
0.000 0.000 0.500
0.500 0.000 0.000
0.000 0.500 0.000
0.000 0.000 0.000
0.500 0.500 0.500
```

Summary:
Energy relative to the lowest polymorph listed for this composition in eV/atom: 0.000
Formation energy without anion corrections in eV/atom: -0.500
M_tot in μB/cell: 0.000
Crystal system: tetragonal



(12)
Here is crystalline KRb2NaTe2 at its relaxed geometry from Alexandria. Energies are from GGA-PBE.

POSCAR file:
```
KRb2NaTe2
1.0
7.717 0.000 0.000
0.000 7.482 0.000
-3.859 -3.741 8.766
Na Te Rb K
2 4 4 2
direct
0.500 0.250 0.000
0.500 0.750 0.000
0.614 0.387 0.775
0.161 0.887 0.775
0.839 0.113 0.225
0.386 0.613 0.225
0.442 0.178 0.356
0.558 0.822 0.644
0.086 0.322 0.644
0.914 0.678 0.356
0.000 0.250 0.000
0.000 0.750 0.000
```

Summary:
Formation energy without anion corrections in eV/atom: -0.988
M_tot in μB/cell: 0.000
Crystal system: orthorhombic



(13)
Here is crystalline KRbNa3Tl at its relaxed geometry from Alexandria. Energies are from GGA-PBE.

POSCAR file:
```
KRbNa3Tl
1.0
6.726 0.000 0.000
0.000 7.189 0.000
0.000 -3.595 12.049
Na K Tl Rb
6 2 2 2
direct
0.250 0.126 0.251
0.500 0.760 0.000
0.500 0.240 0.000
0.000 0.240 0.000
0.750 0.874 0.749
0.000 0.760 0.000
0.750 0.630 0.260
0.250 0.370 0.740
0.250 0.906 0.812
0.750 0.094 0.188
0.750 0.252 0.504
0.250 0.748 0.496
```

Summary:
M_tot in μB/cell: 0.000
Energy of formation in eV/atom: -0.008
Crystal system: orthorhombic



(14)
Here is crystalline KRb2NaTl at its relaxed geometry from Alexandria. Energies are from GGA-PBE.

POSCAR file:
```
KRb2NaTl
1.0
7.217 0.000 0.000
0.000 7.217 0.000
0.000 0.000 6.065
Rb Tl K Na
2 1 1 1
direct
0.000 0.500 0.000
0.500 0.000 0.000
0.000 0.000 0.500
0.500 0.500 0.500
0.000 0.000 0.000
```

Summary:
Energy relative to the lowest polymorph listed for this composition in eV/atom: 0.060
M_tot in μB/cell: 0.000
Energy of formation in eV/atom: 0.122
Crystal system: tetragonal



(15)
Here is crystalline KRb2NaTl at its relaxed geometry from Alexandria. Energies are from GGA-PBE.

POSCAR file:
```
KRb2NaTl
1.0
-1.661 2.086 6.704
-7.021 -0.440 -1.603
-0.047 -5.956 1.842
K Rb Tl Na
1 2 1 1
direct
0.500 0.500 0.500
0.000 0.500 0.000
0.500 0.000 0.000
0.000 0.000 0.000
0.000 0.000 0.500
```

Summary:
Energy relative to the lowest polymorph listed for this composition in eV/atom: 0.000
M_tot in μB/cell: 0.000
Energy of formation in eV/atom: 0.062
Crystal system: tetragonal



(16)
Here is crystalline KRb2NaTl at its relaxed geometry from Alexandria. Energies are from GGA-PBE.

POSCAR file:
```
KRb2NaTl
1.0
7.120 0.000 0.000
0.000 7.120 0.000
0.000 0.000 6.924
K Tl Rb Na
1 1 2 1
direct
0.000 0.000 0.500
0.000 0.000 0.000
0.000 0.500 0.000
0.500 0.000 0.000
0.500 0.500 0.500
```

Summary:
Energy relative to the lowest polymorph listed for this composition in eV/atom: 0.076
M_tot in μB/cell: 0.001
Energy of formation in eV/atom: 0.137
Crystal system: tetragonal



(17)
Here is crystalline KRb2Na5Tl2 at its relaxed geometry from Alexandria. Energies are from GGA-PBE.

POSCAR file:
```
KRb2Na5Tl2
1.0
5.270 0.000 0.000
0.000 13.010 0.000
0.000 0.000 13.010
Rb Na K Tl
4 10 2 4
direct
0.000 0.184 0.316
0.000 0.684 0.184
0.000 0.816 0.684
0.000 0.316 0.816
0.500 0.500 0.000
0.500 0.000 0.500
0.500 0.235 0.065
0.500 0.435 0.265
0.500 0.565 0.735
0.500 0.065 0.765
0.500 0.935 0.235
0.500 0.735 0.435
0.500 0.765 0.935
0.500 0.265 0.565
0.000 0.000 0.000
0.000 0.500 0.500
0.000 0.895 0.395
0.000 0.605 0.895
0.000 0.395 0.105
0.000 0.105 0.605
```

Summary:
M_tot in μB/cell: 0.000
Energy of formation in eV/atom: -0.043
Crystal system: tetragonal



(18)
Here is crystalline K5Rb2Na2Tl at its relaxed geometry from Alexandria. Energies are from GGA-PBE.

POSCAR file:
```
K5Rb2Na2Tl
1.0
4.530 0.000 0.000
0.000 16.421 0.000
0.000 0.000 16.421
K Tl Rb Na
10 2 4 4
direct
0.500 0.000 0.500
0.500 0.179 0.047
0.500 0.821 0.953
0.500 0.679 0.453
0.500 0.047 0.821
0.500 0.953 0.179
0.500 0.321 0.547
0.500 0.453 0.321
0.500 0.500 0.000
0.500 0.547 0.679
0.000 0.500 0.500
0.000 0.000 0.000
0.000 0.321 0.821
0.000 0.179 0.321
0.000 0.679 0.179
0.000 0.821 0.679
0.000 0.639 0.861
0.000 0.361 0.139
0.000 0.861 0.361
0.000 0.139 0.639
```

Summary:
M_tot in μB/cell: 0.000
Energy of formation in eV/atom: 0.017
Crystal system: tetragonal



(19)
Here is crystalline K2RbNa6Tl at its relaxed geometry from Alexandria. Energies are from GGA-PBE.

POSCAR file:
```
K2RbNa6Tl
1.0
-8.014 -3.316 3.472
4.421 -2.461 7.854
-3.121 3.038 8.265
Na Rb K Tl
6 1 2 1
direct
0.276 0.276 0.449
0.724 0.724 0.000
0.724 0.276 0.000
0.276 0.724 0.000
0.276 0.276 0.000
0.724 0.724 0.551
0.000 0.000 0.000
0.750 0.250 0.500
0.250 0.750 0.500
0.500 0.500 0.000
```

Summary:
M_tot in μB/cell: 0.000
Energy of formation in eV/atom: 0.134
Crystal system: cubic



(20)
Here is crystalline KRbNaZn at its relaxed geometry from Alexandria. Energies are from GGA-PBE.

POSCAR file:
```
KRbNaZn
1.0
6.436 0.000 0.000
3.218 5.574 0.000
3.218 1.858 5.255
Na K Rb Zn
1 1 1 1
direct
0.500 0.500 0.500
0.750 0.750 0.750
0.250 0.250 0.250
0.000 0.000 0.000
```

Summary:
M_tot in μB/cell: 0.000
Energy of formation in eV/atom: 0.135
Crystal system: cubic



(21)
Here is crystalline KRbNa2Zn at its relaxed geometry from Alexandria. Energies are from GGA-PBE.

POSCAR file:
```
KRbNa2Zn
1.0
6.135 0.000 0.000
0.000 6.135 0.000
0.000 0.000 6.560
Na Rb Zn K
2 1 1 1
direct
0.500 0.000 0.000
0.000 0.500 0.000
0.500 0.500 0.500
0.000 0.000 0.000
0.000 0.000 0.500
```

Summary:
Energy relative to the lowest polymorph listed for this composition in eV/atom: 0.000
M_tot in μB/cell: 0.000
Energy of formation in eV/atom: 0.113
Crystal system: tetragonal



(22)
Here is crystalline KRbNa2Zn at its relaxed geometry from Alexandria. Energies are from GGA-PBE.

POSCAR file:
```
KRbNa2Zn
1.0
6.108 0.000 0.000
0.000 6.108 0.000
0.000 0.000 6.758
Na K Rb Zn
2 1 1 1
direct
0.500 0.000 0.000
0.000 0.500 0.000
0.500 0.500 0.500
0.000 0.000 0.500
0.000 0.000 0.000
```

Summary:
Energy relative to the lowest polymorph listed for this composition in eV/atom: 0.015
M_tot in μB/cell: 0.000
Energy of formation in eV/atom: 0.128
Crystal system: tetragonal



(23)
Here is crystalline KNaRe2 at its relaxed geometry from Alexandria. Energies are from GGA-PBE.

POSCAR file:
```
KNaRe2
1.0
-3.874 -0.608 3.155
-3.040 3.877 1.030
-4.713 0.040 -1.765
K Re Na
1 2 1
direct
0.500 0.500 0.500
0.250 0.250 0.250
0.750 0.750 0.750
0.000 0.000 0.000
```

Summary:
Energy relative to the lowest polymorph listed for this composition in eV/atom: 1.301
M_tot in μB/cell: 5.712
Energy of formation in eV/atom: 2.642
Crystal system: cubic



(24)
Here is crystalline K2NaRe at its relaxed geometry from Alexandria. Energies are from GGA-PBE.

POSCAR file:
```
K2NaRe
1.0
-4.645 0.990 3.599
-5.499 0.367 -2.265
-3.945 -4.344 1.036
Na Re K
1 1 2
direct
0.000 0.000 0.000
0.500 0.500 0.500
0.750 0.750 0.750
0.250 0.250 0.250
```

Summary:
Energy relative to the lowest polymorph listed for this composition in eV/atom: 0.000
M_tot in μB/cell: 3.831
Energy of formation in eV/atom: 1.475
Crystal system: cubic



(25)
Here is crystalline KNaRe2 at its relaxed geometry from Alexandria. Energies are from GGA-PBE.

POSCAR file:
```
KNaRe2
1.0
3.713 0.000 0.000
0.000 3.713 0.000
1.857 1.857 11.664
Re Na K
4 2 2
direct
0.144 0.625 0.250
0.606 0.125 0.250
0.375 0.394 0.750
0.875 0.856 0.750
0.500 0.500 0.000
0.250 0.750 0.500
0.000 0.000 0.000
0.750 0.250 0.500
```

Summary:
Energy relative to the lowest polymorph listed for this composition in eV/atom: 0.000
M_tot in μB/cell: 0.000
Energy of formation in eV/atom: 1.341
Crystal system: tetragonal



(26)
Here is crystalline KNa3Re at its relaxed geometry from Alexandria. Energies are from GGA-PBE.

POSCAR file:
```
KNa3Re
1.0
-1.483 2.041 5.443
4.550 -3.088 2.398
3.618 4.721 -0.785
Re Na K
1 3 1
direct
0.000 0.000 0.000
0.000 0.000 0.500
0.000 0.500 0.000
0.500 0.000 0.000
0.500 0.500 0.500
```

Summary:
Energy relative to the lowest polymorph listed for this composition in eV/atom: 0.000
M_tot in μB/cell: 3.757
Energy of formation in eV/atom: 1.215
Crystal system: cubic